No. 1
A plane-wave DFT calculation with PBE-GGA was carried out for a relaxed structure of Ca3GeRu.

- Space group: No. 221
- Energy above the lowest structure with this stoichiometry: 0 meV/atom
- Calculated formation energy: 0.291 eV per atom
- Electronic total energy: -3.689 eV per atom
- Spin magnetization: 1.94 μB per formula unit

abc: 5.285 5.285 5.285
angles: 90.00 90.00 90.00
Each line ends with the local moment (μB).
Atoms (fractional coordinates):
1 Ge 0.500 0.500 0.500  0.37
2 Ca 0.500 0.000 0.000  0.05
3 Ca 0.000 0.000 0.500  0.01
4 Ca 0.000 0.500 0.000  0.03
5 Ru 0.000 0.000 0.000  0.58

---

No. 2
A plane-wave DFT calculation with PBE-GGA was carried out for a relaxed structure of CaGe2Ru2.

- Space group: No. 139
- Calculated formation energy: -0.518 eV per atom
- Electronic total energy: -6.476 eV per atom
- Spin magnetization: 0.00 μB per formula unit

abc: 4.300 4.300 5.848
angles: 68.43 68.43 90.00
Atoms (fractional coordinates):
1 Ru 0.750 0.250 0.500
2 Ru 0.250 0.750 0.500
3 Ca 0.000 0.000 0.000
4 Ge 0.633 0.633 0.733
5 Ge 0.367 0.367 0.267

---

- Which value of calculated formation energy does entry 1 give?
  0.291 eV per atom

---

- Which of these has the lowest electronic total energy?
  CaGe2Ru2

---

- Which of these has the lowest electronic total energy?
  CaGe2Ru2

---

- The highest calculated formation energy belongs to which entry?
  Ca3GeRu